(1)
Density functional theory data (SCAN) for a crystal of CoSiIr2 relaxed with PBEsol.

abc: 5.302 8.499 2.701
angles: 90.00 120.13 90.00
Space group C2/m (No. 12)
Unique sites:
Co1 0.000 0.000 0.000 [2 per cell]
Si1 0.000 0.500 0.000 [2 per cell]
Ir1 0.250 0.250 0.500 [4 per cell]

Output
Total magnetization = 0.515 μB/atom
Formation energy from raw total energies = -0.098 eV/atom

(2)
Density functional theory data (SCAN) for a crystal of CoSiIr2 relaxed with PBEsol.

abc: 5.940 5.940 5.940
angles: 90.00 90.00 90.00
Space group F-43m (No. 216)
Unique sites:
Co1 0.000 0.000 0.000 [4 per cell]
Si1 0.250 0.250 0.750 [4 per cell]
Ir1 0.000 0.000 0.500 [4 per cell]
Ir2 0.250 0.250 0.250 [4 per cell]

Output
Total magnetization = 0.717 μB/atom
Formation energy from raw total energies = 0.028 eV/atom

Question: Among the records above, which one has the highest formation energy from raw total energies?
Answer: number 2

Question: Number 1 is which compound?
Answer: CoSiIr2

Question: Look up the formation energy from raw total energies of the first one.
Answer: -0.098 eV/atom